1.
First-principles (PBE) data for a relaxed structure of Nd2Ho3ScTe6, as listed in Alexandria via LeMat-Bulk.

Its volume is 354 Å³/f.u. Its theoretical density is 7.49 g/cm3. The electronic total energy comes out at -63.8 eV/f.u. For the raw formation energy, the calculation gives -15.3 eV per formula unit.

The structure belongs to space group C2/m (No. 12); the cell edges are 19.070, 4.334 and 8.780 Å and the angles 90.00°, 103.05° and 90.00°. Symmetry generates all atoms from Nd at (0.170, 0.000, 0.335), Ho at (0.000, 0.500, 0.500), Ho at (0.177, 0.000, 0.838), Sc at (0.000, 0.500, 0.000), Te at (0.005, 0.000, 0.760), Te at (0.158, 0.500, 0.070) and Te at (0.161, 0.500, 0.591).

***

2.
First-principles (PBE) data for a relaxed structure of Nd3HoSc2Te6, as listed in Alexandria via LeMat-Bulk.

Its volume is 352 Å³/f.u. Its theoretical density is 6.85 g/cm3. The electronic total energy comes out at -65.8 eV/f.u. For the raw formation energy, the calculation gives -15.4 eV per formula unit.

The structure belongs to space group C2/m (No. 12); the cell edges are 19.138, 4.313 and 8.834 Å and the angles 90.00°, 104.88° and 90.00°. Symmetry generates all atoms from Nd at (0.000, 0.000, 0.000), Nd at (0.163, 0.500, 0.328), Ho at (0.000, 0.000, 0.500), Sc at (0.167, 0.500, 0.833), Te at (0.008, 0.500, 0.745), Te at (0.166, 0.000, 0.599) and Te at (0.173, 0.000, 0.067).

***

3.
First-principles (PBE) data for a relaxed structure of NdHo3ThSc, as listed in Alexandria via LeMat-Bulk.

The formation energy is 0.041 eV/atom. Its volume is 185 Å³/f.u. Its theoretical density is 8.21 g/cm3. The electronic total energy comes out at -32.0 eV/f.u.

The structure belongs to space group P2_1/m (No. 11); the cell edges are 7.855, 5.013 and 9.940 Å and the angles 90.00°, 108.84° and 90.00°. Symmetry generates all atoms from Nd at (0.174, 0.250, 0.297), Ho at (0.176, 0.750, 0.046), Ho at (0.176, 0.750, 0.542), Ho at (0.177, 0.250, 0.790), Th at (0.498, 0.750, 0.876) and Sc at (0.499, 0.250, 0.627).

***

4.
First-principles (PBE) data for a relaxed structure of NdHo2ThSc4, as listed in Alexandria via LeMat-Bulk.

The formation energy is 0.041 eV/atom. Its volume is 226 Å³/f.u. Its theoretical density is 6.52 g/cm3. The electronic total energy comes out at -46.3 eV/f.u.

The structure belongs to space group Pmmm (No. 47); the cell edges are 4.989, 4.999 and 9.052 Å and the angles 90.00°, 90.00° and 90.00°. Symmetry generates all atoms from Nd at (0.000, 0.000, 0.000), Ho at (0.000, 0.000, 0.500), Ho at (0.500, 0.500, 0.000), Th at (0.500, 0.500, 0.500), Sc at (0.000, 0.500, 0.254) and Sc at (0.500, 0.000, 0.254).

***

5.
First-principles (PBE) data for a relaxed structure of Nd3Ho6Th2Sc, as listed in Alexandria via LeMat-Bulk.

The formation energy is 0.024 eV/atom. Its volume is 378 Å³/f.u. Its theoretical density is 8.47 g/cm3. The electronic total energy comes out at -62.7 eV/f.u.

The structure belongs to space group C2/m (No. 12); the cell edges are 6.145, 10.638 and 11.759 Å and the angles 90.00°, 100.04° and 90.00°. Symmetry generates all atoms from Nd at (0.000, 0.000, 0.000), Nd at (0.000, 0.334, 0.000), Ho at (0.247, 0.000, 0.744), Ho at (0.248, 0.333, 0.743), Th at (0.000, 0.166, 0.500) and Sc at (0.000, 0.500, 0.500).

***

6.
First-principles (PBE) data for a relaxed structure of Nd2Ho4ThSc, as listed in Alexandria via LeMat-Bulk.

The formation energy is 0.134 eV/atom. Its volume is 252 Å³/f.u. Its theoretical density is 8.07 g/cm3. The electronic total energy comes out at -40.5 eV/f.u.

The structure belongs to space group P4/mmm (No. 123); the cell edges are 5.838, 5.838 and 7.398 Å and the angles 90.00°, 90.00° and 90.00°. Symmetry generates all atoms from Nd at (0.000, 0.000, 0.000), Nd at (0.500, 0.500, 0.000), Ho at (0.000, 0.500, 0.260), Th at (0.000, 0.000, 0.500) and Sc at (0.500, 0.500, 0.500).

***

7.
First-principles (PBE) data for a relaxed structure of NdHo2ScTl4, as listed in Alexandria via LeMat-Bulk.

The formation energy is -0.310 eV/atom. Its volume is 216 Å³/f.u. Its theoretical density is 10.29 g/cm3. The electronic total energy comes out at -32.2 eV/f.u.

The structure belongs to space group R-3m (No. 166, hexagonal axes); the cell edges are 5.3291, 5.3291 and 26.3213 Å and the angles 90.00°, 90.00° and 120.00°. Symmetry generates all atoms from Nd at (0.0000, 0.0000, 0.0000), Ho at (0.0000, 0.0000, 0.2484), Sc at (0.0000, 0.0000, 0.5000), Tl at (0.0000, 0.0000, 0.1278) and Tl at (0.0000, 0.0000, 0.3784).

***

8.
First-principles (PBE) data for a relaxed structure of NdHo2ScTl2, as listed in Alexandria via LeMat-Bulk.

The formation energy is -0.254 eV/atom. Its volume is 170 Å³/f.u. Its theoretical density is 9.07 g/cm3. The electronic total energy comes out at -26.5 eV/f.u.

The structure belongs to space group Pmc2_1 (No. 26); the cell edges are 4.999, 9.836 and 6.906 Å and the angles 90.00°, 90.00° and 90.00°. Symmetry generates all atoms from Nd at (0.000, 0.048, 0.000), Ho at (0.000, 0.315, 0.392), Ho at (0.500, 0.451, 0.099), Sc at (0.500, 0.199, 0.714), Tl at (0.000, 0.365, 0.839) and Tl at (0.500, 0.127, 0.277).

***

9.
First-principles (PBE) data for a relaxed structure of NdHoSc2Tl4, as listed in Alexandria via LeMat-Bulk.

The formation energy is -0.293 eV/atom. Its volume is 208 Å³/f.u. Its theoretical density is 9.70 g/cm3. The electronic total energy comes out at -33.8 eV/f.u.

The structure belongs to space group R-3m (No. 166, hexagonal axes); the cell edges are 5.2748, 5.2748 and 25.9232 Å and the angles 90.00°, 90.00° and 120.00°. Symmetry generates all atoms from Nd at (0.0000, 0.0000, 0.0000), Ho at (0.0000, 0.0000, 0.5000), Sc at (0.0000, 0.0000, 0.2495), Tl at (0.0000, 0.0000, 0.1268) and Tl at (0.0000, 0.0000, 0.3770).

***

10.
First-principles (PBE) data for a relaxed structure of Nd2HoScTl2, as listed in Alexandria via LeMat-Bulk.

The formation energy is -0.254 eV/atom. Its volume is 174 Å³/f.u. Its theoretical density is 8.67 g/cm3. The electronic total energy comes out at -26.7 eV/f.u.

The structure belongs to space group Pmc2_1 (No. 26); the cell edges are 5.004, 10.006 and 6.938 Å and the angles 90.00°, 90.00° and 90.00°. Symmetry generates all atoms from Nd at (0.000, 0.048, 0.000), Nd at (0.500, 0.188, 0.276), Ho at (0.500, 0.456, 0.899), Sc at (0.000, 0.313, 0.609), Tl at (0.000, 0.387, 0.170) and Tl at (0.500, 0.151, 0.737).

***

11.
First-principles (PBE) data for a relaxed structure of NdHo2Tm2Sc2, as listed in Alexandria via LeMat-Bulk.

The formation energy is 0.270 eV/atom. Its volume is 212 Å³/f.u. Its theoretical density is 7.06 g/cm3. The electronic total energy comes out at -33.6 eV/f.u.

The structure belongs to space group C2/m (No. 12); the cell edges are 17.005, 3.313 and 8.549 Å and the angles 90.00°, 118.29° and 90.00°. Symmetry generates all atoms from Nd at (0.000, 0.000, 0.000), Ho at (0.202, 0.500, 0.114), Tm at (0.150, 0.000, 0.429) and Sc at (0.072, 0.000, 0.710).

***

12.
First-principles (PBE) data for a relaxed structure of NdHo2TmSc2, as listed in Alexandria via LeMat-Bulk.

The formation energy is 0.077 eV/atom. Its volume is 175 Å³/f.u. Its theoretical density is 6.95 g/cm3. The electronic total energy comes out at -30.6 eV/f.u.

The structure belongs to space group Pnnm (No. 58); the cell edges are 6.768, 9.492 and 5.455 Å and the angles 90.00°, 90.00° and 90.00°. Symmetry generates all atoms from Nd at (0.000, 0.000, 0.000), Ho at (0.247, 0.334, 0.000), Tm at (0.000, 0.500, 0.500) and Sc at (0.250, 0.167, 0.500).

***

13.
First-principles (PBE) data for a relaxed structure of Nd4HoTm2Sc, as listed in Alexandria via LeMat-Bulk.

The formation energy is 0.028 eV/atom. Its volume is 255 Å³/f.u. Its theoretical density is 7.32 g/cm3. The electronic total energy comes out at -38.7 eV/f.u.

The structure belongs to space group P4/mmm (No. 123); the cell edges are 5.100, 5.100 and 9.805 Å and the angles 90.00°, 90.00° and 90.00°. Symmetry generates all atoms from Nd at (0.000, 0.500, 0.245), Ho at (0.000, 0.000, 0.500), Tm at (0.000, 0.000, 0.000), Tm at (0.500, 0.500, 0.500) and Sc at (0.500, 0.500, 0.000).

***

14.
First-principles (PBE) data for a relaxed structure of NdHo3TmSc, as listed in Alexandria via LeMat-Bulk.

The formation energy is 0.039 eV/atom. Its volume is 182 Å³/f.u. Its theoretical density is 7.77 g/cm3. The electronic total energy comes out at -29.1 eV/f.u.

The structure belongs to space group Cmcm (No. 63); the cell edges are 4.943, 14.831 and 9.942 Å and the angles 90.00°, 90.00° and 90.00°. Symmetry generates all atoms from Nd at (0.000, 0.003, 0.250), Ho at (0.000, 0.168, 0.000), Ho at (0.000, 0.330, 0.250), Tm at (0.000, 0.500, 0.000) and Sc at (0.000, 0.332, 0.750).

***

15.
First-principles (PBE) data for a relaxed structure of NdHo2Tm5Sc, as listed in Alexandria via LeMat-Bulk.

The formation energy is 0.176 eV/atom. Its volume is 277 Å³/f.u. Its theoretical density is 8.17 g/cm3. The electronic total energy comes out at -41.0 eV/f.u.

The structure belongs to space group Cmc2_1 (No. 36); the cell edges are 5.512, 19.538 and 10.292 Å and the angles 90.00°, 90.00° and 90.00°. Symmetry generates all atoms from Nd at (0.000, 0.086, 0.000), Ho at (0.000, 0.386, 0.282), Ho at (0.000, 0.389, 0.862), Tm at (0.000, 0.020, 0.285), Tm at (0.000, 0.122, 0.568), Tm at (0.000, 0.202, 0.254), Tm at (0.000, 0.223, 0.869), Tm at (0.000, 0.481, 0.569) and Sc at (0.000, 0.303, 0.561).

***

16.
First-principles (PBE) data for a relaxed structure of Nd2Ho5TmSc, as listed in Alexandria via LeMat-Bulk.

The formation energy is 0.153 eV/atom. Its volume is 286 Å³/f.u. Its theoretical density is 7.71 g/cm3. The electronic total energy comes out at -41.9 eV/f.u.

The structure belongs to space group Cmc2_1 (No. 36); the cell edges are 5.519, 20.050 and 10.325 Å and the angles 90.00°, 90.00° and 90.00°. Symmetry generates all atoms from Nd at (0.000, 0.113, 0.000), Nd at (0.000, 0.116, 0.421), Ho at (0.000, 0.016, 0.702), Ho at (0.000, 0.274, 0.007), Ho at (0.000, 0.299, 0.388), Ho at (0.000, 0.374, 0.706), Ho at (0.000, 0.483, 0.427), Tm at (0.000, 0.407, 0.145) and Sc at (0.000, 0.195, 0.701).

***

17.
First-principles (PBE) data for a relaxed structure of NdHo2Tm6Sc, as listed in Alexandria via LeMat-Bulk.

The formation energy is 0.124 eV/atom. Its volume is 306 Å³/f.u. Its theoretical density is 8.31 g/cm3. The electronic total energy comes out at -45.8 eV/f.u.

The structure belongs to space group C2/c (No. 15); the cell edges are 9.185, 15.508 and 8.599 Å and the angles 90.00°, 91.35° and 90.00°. Symmetry generates all atoms from Nd at (0.000, 0.035, 0.250), Ho at (0.234, 0.443, 0.441), Tm at (0.039, 0.172, 0.946), Tm at (0.105, 0.370, 0.090), Tm at (0.249, 0.292, 0.706) and Sc at (0.000, 0.442, 0.750).

***

18.
First-principles (PBE) data for a relaxed structure of Nd4Ho2TmSc, as listed in Alexandria via LeMat-Bulk.

The formation energy is 0.029 eV/atom. Its volume is 256 Å³/f.u. Its theoretical density is 7.27 g/cm3. The electronic total energy comes out at -38.8 eV/f.u.

The structure belongs to space group Pmmm (No. 47); the cell edges are 5.094, 5.105 and 9.839 Å and the angles 90.00°, 90.00° and 90.00°. Symmetry generates all atoms from Nd at (0.000, 0.000, 0.246), Nd at (0.500, 0.500, 0.246), Ho at (0.000, 0.500, 0.000), Ho at (0.500, 0.000, 0.500), Tm at (0.000, 0.500, 0.500) and Sc at (0.500, 0.000, 0.000).

***

19.
First-principles (PBE) data for a relaxed structure of Nd2HoTm4Sc, as listed in Alexandria via LeMat-Bulk.

The formation energy is 0.039 eV/atom. Its volume is 246 Å³/f.u. Its theoretical density is 7.94 g/cm3. The electronic total energy comes out at -38.0 eV/f.u.

The structure belongs to space group P4/mmm (No. 123); the cell edges are 4.990, 4.990 and 9.860 Å and the angles 90.00°, 90.00° and 90.00°. Symmetry generates all atoms from Nd at (0.000, 0.000, 0.000), Nd at (0.500, 0.500, 0.500), Ho at (0.000, 0.000, 0.500), Tm at (0.000, 0.500, 0.246) and Sc at (0.500, 0.500, 0.000).

***

20.
First-principles (PBE) data for a relaxed structure of NdHo4Tm2Sc, as listed in Alexandria via LeMat-Bulk.

The formation energy is 0.447 eV/atom. Its volume is 253 Å³/f.u. Its theoretical density is 7.78 g/cm3. The electronic total energy comes out at -34.8 eV/f.u.

The structure belongs to space group Imma (No. 74); the cell edges are 6.699, 11.564 and 13.080 Å and the angles 90.00°, 90.00° and 90.00°. Symmetry generates all atoms from Nd at (0.250, 0.250, 0.250), Ho at (0.000, 0.002, 0.743), Ho at (0.244, 0.250, 0.503), Tm at (0.000, 0.000, 0.000), Tm at (0.250, 0.250, 0.750) and Sc at (0.000, 0.000, 0.500).